Density functional theory data (GGA-PBE) for crystalline Ca2NbTlW at its relaxed geometry.

Cell: 5.373 5.373 5.341 Å, 90.00 90.00 90.00°
Space group P4/mmm (No. 123)
Asymmetric unit:
1 Ca 0.000 0.500 0.000 (multiplicity 2)
2 Nb 0.000 0.000 0.500 (multiplicity 1)
3 Tl 0.500 0.500 0.500 (multiplicity 1)
4 W 0.500 0.500 0.000 (multiplicity 1)

Formation energy = 8.8 eV/f.u.